PaTiSe after structural relaxation, computed with PBE.

abc: 3.4284 4.5175 4.5175
angles: 120.00 90.00 90.00
Closest atoms and distances in Å follow each position.
Positions (direct):
Pa 0.6666 0.6667 0.3333  6 Ti 3.12, 6 Se 3.12, 2 Pa 3.43
Se 0.1666 0.0000 0.0000  3 Ti 2.61
Ti 0.1667 0.3333 0.6667  3 Se 2.61

polymorph energy (0 for the lowest one): 0 meV per atom
crystal system: hexagonal
Fermi-level density of states: 5.51 states/eV/cell
final energy: -7.4741 eV/atom
uncorrected formation energy: -0.52 eV/atom
magnetic moment: 0.000 μB per cell


KZn3Cr after structural relaxation, computed with PBE.

abc: 5.9343 5.9343 5.9343
angles: 90.00 90.00 90.00
Closest atoms and distances in Å follow each position.
Positions (direct):
Cr 0.5000 0.5000 0.5000  12 Zn 4.20
Zn 0.0000 0.5000 0.0000  2 K 2.97
Zn 0.0000 0.0000 0.5000  2 K 2.97
Zn 0.5000 0.0000 0.0000  2 K 2.97
K 0.0000 0.0000 0.0000  6 Zn 2.97

polymorph energy (0 for the lowest one): 903 meV per atom
crystal system: cubic
Fermi-level density of states: 2.05 states/eV/cell
final energy: -1.6120 eV/atom
magnetic moment: 5.216 μB per cell
formation enthalpy at 0 K: 1.2966 eV per atom


KMgScB2 after structural relaxation, computed with PBE.

abc: 4.6219 5.1559 4.6219
angles: 90.00 90.00 90.00
Closest atoms and distances in Å follow each position.
Positions (direct):
Sc 0.0000 0.0000 0.0000  4 B 2.31, 2 K 2.58
K 0.0000 0.5000 0.0000  2 Sc 2.58
B 0.0000 0.0000 0.5000  2 Sc 2.31
B 0.5000 0.0000 0.0000  2 Sc 2.31
Mg 0.5000 0.5000 0.5000  4 K 3.27, 8 B 3.46

crystal system: tetragonal
Fermi-level density of states: 4.82 states/eV/cell
final energy: -2.9567 eV/atom
magnetic moment: 0.000 μB per cell
formation enthalpy at 0 K: 1.5190 eV per atom


What did the first record say?
PaTiSe after structural relaxation, computed with PBE.

abc: 3.4284 4.5175 4.5175
angles: 120.00 90.00 90.00
Closest atoms and distances in Å follow each position.
Positions (direct):
Pa 0.6666 0.6667 0.3333  6 Ti 3.12, 6 Se 3.12, 2 Pa 3.43
Se 0.1666 0.0000 0.0000  3 Ti 2.61
Ti 0.1667 0.3333 0.6667  3 Se 2.61

polymorph energy (0 for the lowest one): 0 meV per atom
crystal system: hexagonal
Fermi-level density of states: 5.51 states/eV/cell
final energy: -7.4741 eV/atom
uncorrected formation energy: -0.52 eV/atom
magnetic moment: 0.000 μB per cell


What is the final energy in the third record? -2.9567 eV/atom